Entry 1:
DFT (PBE-GGA) results for crystalline SrSc2P at its relaxed geometry.

abc: 9.4796 9.4796 9.4796
angles: 23.15 23.15 23.15
Each line ends with the local moment (μB).
Fractional coordinates of all 4 atoms:
Sr 0.5227 0.5227 0.5227  0.00
Sc 0.9766 0.9766 0.9766  0.10
Sc 0.7384 0.7384 0.7384  0.28
P 0.2623 0.2623 0.2623  -0.01

***

Entry 2:
DFT (PBE-GGA) results for crystalline SrSc2P at its relaxed geometry.

abc: 4.4804 4.4804 4.5852
angles: 90.00 90.00 90.00
Each line ends with the local moment (μB).
Fractional coordinates of all 4 atoms:
Sr 0.5000 0.5000 0.5000  0.06
Sc 0.0000 0.5000 0.0000  0.40
Sc 0.5000 0.0000 0.0000  0.40
P 0.0000 0.0000 0.5000  -0.01

***

Entry 3:
DFT (PBE-GGA) results for crystalline SrScP2 at its relaxed geometry.

Values from the calculation:
energy relative to the lowest polymorph listed for this composition	0	meV per atom

abc: 4.0348 4.0348 7.0654
angles: 73.28 73.28 60.24
Fractional coordinates of all 4 atoms:
Sc 0.2500 0.2500 0.2500
P 0.5160 0.5160 0.4526
P 0.9840 0.9840 0.0474
Sr 0.7500 0.7500 0.7500

***

Entry 4:
DFT (PBE-GGA) results for crystalline SrSc2P2 at its relaxed geometry.

Values from the calculation:
energy relative to the lowest polymorph listed for this composition	172	meV per atom

abc: 7.6585 7.6585 3.5902
angles: 90.00 90.00 90.00
Fractional coordinates of all 10 atoms:
P 0.8547 0.6453 0.0000
P 0.1453 0.3547 0.0000
P 0.6453 0.1453 0.0000
P 0.3547 0.8547 0.0000
Sc 0.8551 0.3551 0.5000
Sc 0.3551 0.1449 0.5000
Sc 0.6449 0.8551 0.5000
Sc 0.1449 0.6449 0.5000
Sr 0.5000 0.5000 0.0000
Sr 0.0000 0.0000 0.0000

***

Entry 5:
DFT (PBE-GGA) results for crystalline SrSc2P2 at its relaxed geometry.

Values from the calculation:
energy relative to the lowest polymorph listed for this composition	0	meV per atom

abc: 4.3060 4.3060 7.1059
angles: 72.36 72.36 90.00
Each line ends with the local moment (μB).
Fractional coordinates of all 5 atoms:
P 0.3677 0.3677 0.2646  -0.02
P 0.6323 0.6323 0.7354  -0.02
Sr 0.0000 0.0000 0.0000  0.01
Sc 0.7500 0.2500 0.5000  0.22
Sc 0.2500 0.7500 0.5000  0.22

***

Entry 6:
DFT (PBE-GGA) results for crystalline SrScP at its relaxed geometry.

Values from the calculation:
energy relative to the lowest polymorph listed for this composition	142	meV per atom

abc: 3.9991 3.9991 6.5546
angles: 90.00 90.00 120.00
Each line ends with the local moment (μB).
Fractional coordinates of all 3 atoms:
P 0.0000 0.0000 0.0438  -0.01
Sr 0.3333 0.6667 0.7359  0.00
Sc 0.6667 0.3333 0.2202  0.10

***

no.,total DFT energy (no corrections) (eV/f.u.),calculated volume (Å³ per atom)
1,-21.31,28.90
2,-20.22,23.01
3,-23.12,23.54
4,-29.54,21.06
5,-30.40,23.81
6,-15.74,30.26